PuBe2F8: optimized geometry, PBE.

a b c (Å): 5.5890 5.4243 5.4243
angles (deg): 54.55 106.46 106.46
With the nearest neighbours (Å) after each atom.
Atoms (fractional coordinates):
F1 0.7868 0.8935 0.3570  1 Be 1.59
F2 0.7868 0.3570 0.8935  1 Be 1.59
F3 0.2132 0.1065 0.6430  1 Be 1.59
F4 0.2132 0.6430 0.1065  1 Be 1.59
F5 0.3894 0.1590 0.1590  1 Be 1.58
F6 0.1959 0.6281 0.6281  1 Be 1.52
F7 0.8041 0.3719 0.3719  1 Be 1.52
F8 0.6106 0.8410 0.8410  1 Be 1.58
Be1 0.3117 0.7934 0.7934  4 F 1.52-1.59
Be2 0.6883 0.2066 0.2066  4 F 1.52-1.59
Pu1 0.0000 0.0000 0.0000  6 F 2.23-2.26

E_form (uncorrected) in eV/atom: -3.19
E above lowest polymorph in eV/atom: 0.0792
Total magnetization in μB per formula unit: 4.000